A relaxed Zr2MoCl crystal. Source: Alexandria, functional PBE.

Values from the calculation:
The calculation puts the total energy at -7.283 eV/atom. The value obtained for the density is 6.553 g/cm3.

Unit cell a=5.2882 b=5.2882 c=5.2882 alpha=142.00 beta=116.63 gamma=76.34
Sites, in units of the cell vectors:
Zr 0.2407 0.2407 0.0000
Zr 0.7593 0.7593 0.0000
Mo 0.5000 0.0000 0.5000
Cl 0.0000 0.5000 0.5000